Compound: Ce2SmCuS5
Source: the Alexandria database
Functional: PBE
Structure: optimized geometry

Cell: 8.5316 8.5316 11.9597 Å, 90.00 90.00 153.55°
Closest atoms and distances in Å follow each position.
Atoms (fractional coordinates):
Ce 0.1152 0.8848 0.5000  7 S 2.89-3.03
Ce 0.1155 0.8845 0.8446  8 S 2.90-3.09
Ce 0.8848 0.1152 0.0000  7 S 2.89-3.03
Ce 0.8845 0.1155 0.3446  8 S 2.90-3.09
Sm 0.1786 0.8214 0.1793  6 S 2.77-2.81
Sm 0.8214 0.1786 0.6793  6 S 2.77-2.81
Cu 0.4513 0.5487 0.5734  4 S 2.26-2.36
Cu 0.5487 0.4513 0.0734  4 S 2.26-2.36
S 0.0122 0.9878 0.1641  2 Cu 2.31
S 0.3015 0.6985 0.8448  2 Sm 2.80, 3 Ce 3.03-3.09
S 0.3168 0.6832 0.5104  1 Cu 2.36
S 0.3456 0.6544 0.1719  1 Sm 2.78, 4 Ce 2.91
S 0.4929 0.5071 0.9008  1 Cu 2.26
S 0.5071 0.4929 0.4008  1 Cu 2.26
S 0.6544 0.3456 0.6719  1 Sm 2.78, 4 Ce 2.91
S 0.6832 0.3168 0.0104  1 Cu 2.36
S 0.6985 0.3015 0.3448  2 Sm 2.80, 3 Ce 3.03-3.09
S 0.9878 0.0122 0.6641  2 Cu 2.31

- Crystal system: orthorhombic
- Density of states at the Fermi level: 23.43 states/eV/cell
- Space group: No. 36
- E_form (uncorrected): -15.50 eV per formula unit
- VASP energy: -6.3135 eV/atom